# Ca2Ti2Au | Alexandria via LeMat-Bulk | PBE | optimized geometry
data_Ca2Ti2Au
_cell_length_a 6.8998
_cell_length_b 6.8998
_cell_length_c 5.2704
_cell_angle_alpha 90.00
_cell_angle_beta 90.00
_cell_angle_gamma 90.00
_space_group_name_H-M_alt 'P 4/m b m'
_space_group_IT_number 127
_space_group_name_Hall '-P 4 2ab'
loop_
_atom_site_label
_atom_site_fract_x
_atom_site_fract_y
_atom_site_fract_z
_atom_site_occupancy
Ca1 0.1776 0.3224 0.0000 1
Ti1 0.1345 0.6345 0.5000 1
Au1 0.0000 0.0000 0.5000 1
# * energy: -44.6 eV for the cell shown
# * distance to the lowest polymorph of the same formula: 0 meV/atom
# * formation enthalpy at 0 K: 0.157 eV/atom
# * calculated density: 4.94 Mg/m³